1.
A relaxed CaCu3Se3 crystal, computed with PBE.

Computed properties:
formation energy without anion corrections = -641 meV per atom
space-group type = R-3

abc: 7.9827 7.9827 7.9827
angles: 51.72 51.72 51.72
Sites, in units of the cell vectors:
Ca 0.1663 0.1663 0.1663
Ca 0.8337 0.8337 0.8337
Cu 0.0320 0.3722 0.7181
Cu 0.2819 0.9680 0.6278
Cu 0.3722 0.7181 0.0320
Cu 0.6278 0.2819 0.9680
Cu 0.7181 0.0320 0.3722
Cu 0.9680 0.6278 0.2819
Se 0.0864 0.7395 0.4148
Se 0.2606 0.5852 0.9136
Se 0.4148 0.0864 0.7394
Se 0.5852 0.9136 0.2606
Se 0.7394 0.4148 0.0864
Se 0.9136 0.2606 0.5852

=====

2.
A relaxed Sc3Te crystal, computed with PBE.

Computed properties:
formation energy without anion corrections = -527 meV per atom
space-group type = P4/mmm

abc: 3.7867 3.7867 6.5341
angles: 90.00 90.00 90.00
Sites, in units of the cell vectors:
Sc 0.0000 0.0000 0.0000
Sc 0.5000 0.5000 0.2547
Sc 0.5000 0.5000 0.7453
Te 0.0000 0.0000 0.5000

=====

3.
A relaxed CeNdHgIr crystal, computed with PBE.

Computed properties:
calculated formation energy = -436.9 meV/atom
space-group type = F-43m

abc: 7.3327 7.3327 7.3327
angles: 90.00 90.00 90.00
Sites, in units of the cell vectors:
Ce 0.0000 0.0000 0.0000
Ce 0.0000 0.5000 0.5000
Ce 0.5000 0.0000 0.5000
Ce 0.5000 0.5000 0.0000
Nd 0.0000 0.0000 0.5000
Nd 0.0000 0.5000 0.0000
Nd 0.5000 0.0000 0.0000
Nd 0.5000 0.5000 0.5000
Hg 0.2500 0.2500 0.7500
Hg 0.2500 0.7500 0.2500
Hg 0.7500 0.2500 0.2500
Hg 0.7500 0.7500 0.7500
Ir 0.2500 0.2500 0.2500
Ir 0.2500 0.7500 0.7500
Ir 0.7500 0.2500 0.7500
Ir 0.7500 0.7500 0.2500

=====

4.
A relaxed Tb2MgSi2 crystal, computed with PBE.

Computed properties:
formation energy without anion corrections = -719 meV per atom
space-group type = P4/mbm

abc: 7.2009 7.2009 4.2299
angles: 90.00 90.00 90.00
Sites, in units of the cell vectors:
Tb 0.1786 0.3214 0.0000
Tb 0.3214 0.8214 0.0000
Tb 0.6786 0.1786 0.0000
Tb 0.8214 0.6786 0.0000
Mg 0.0000 0.0000 0.5000
Mg 0.5000 0.5000 0.5000
Si 0.1177 0.6177 0.5000
Si 0.3823 0.1177 0.5000
Si 0.6177 0.8823 0.5000
Si 0.8823 0.3823 0.5000

=====

| no. | calculated total energy (eV/atom) |
| --- | --- |
| 1 | -4.176 |
| 2 | -6.061 |
| 3 | -5.403 |
| 4 | -5.060 |